DFT (PBE) results for crystalline VCoMo at its relaxed geometry.

Structure (POSCAR):
```
VCoMo
1.0
-1.347 -1.749 -1.298
3.614 -2.052 -0.985
-2.126 -1.009 3.564
V Mo Co
1 1 1
Direct
0.993 0.000 0.000 V
0.328 0.667 0.333 Mo
0.678 0.333 0.667 Co
```

## Properties
Crystal system: trigonal
ΔH_f (0 K), meV per atom: 84.5
Excess energy over the best structure of this formula in the dataset, eV/atom: 0.000
Total energy, eV/cell: -26.8

DFT (PBE) results for crystalline CdGa2TeN at its relaxed geometry.

Structure (POSCAR):
```
CdGa2TeN
1.0
4.547 0.000 0.000
0.000 4.838 0.000
0.000 0.000 4.547
Te N Ga Cd
1 1 2 1
Direct
0.000 0.500 0.000 Te
0.000 0.000 0.000 N
0.500 0.000 0.000 Ga
0.000 0.000 0.500 Ga
0.500 0.500 0.500 Cd
```

## Properties
Crystal system: tetragonal
Formation energy from raw total energies, eV/atom: 0.467
Total energy, eV/cell: -16.1

DFT (PBE) results for crystalline Al2Pt2Se at its relaxed geometry.

Structure (POSCAR):
```
Al2Pt2Se
1.0
7.581 0.000 0.000
0.000 7.581 0.000
0.000 0.000 2.823
Al Pt Se
4 4 2
Direct
0.348 0.152 0.500 Al
0.152 0.652 0.500 Al
0.652 0.848 0.500 Al
0.848 0.348 0.500 Al
0.642 0.142 0.000 Pt
0.858 0.642 0.000 Pt
0.142 0.358 0.000 Pt
0.358 0.858 0.000 Pt
0.000 0.000 0.000 Se
0.500 0.500 0.000 Se
```

## Properties
Crystal system: tetragonal
Formation energy from raw total energies, eV/atom: -0.666
Excess energy over the best structure of this formula in the dataset, eV/atom: 0.000
Total energy, eV/cell: -52.8

no.,N(E_F) (states/eV/cell)
1,2.81
2,3.82
3,2.24